# 1
A relaxed Ba2Be2Pb crystal. Source: Alexandria, functional PBE.

Geometry as extended XYZ:
```
10
Lattice="9.534 0.000 0.000 0.000 9.534 0.000 0.000 0.000 3.664" Properties=species:S:1:pos:R:3 pbc="T T T"
Pb 0.000 0.000 0.000
Pb 4.767 4.767 0.000
Be 0.754 5.521 1.832
Be 5.521 8.780 1.832
Be 8.780 4.013 1.832
Be 4.013 0.754 1.832
Ba 7.669 6.632 0.000
Ba 1.865 2.902 0.000
Ba 2.902 7.669 0.000
Ba 6.632 1.865 0.000
```

Output
Volume = 166.55 Å³/f.u.
Formation energy from the elements = 552 meV/atom
N(E_F) = 4.5 states/eV/f.u.

# 2
A relaxed AlBi2OsRu crystal. Source: Alexandria, functional PBE.

Geometry as extended XYZ:
```
5
Lattice="5.254 0.000 0.000 0.000 4.837 0.000 0.000 0.000 5.254" Properties=species:S:1:pos:R:3 pbc="T T T"
Bi 0.000 0.000 2.627
Bi 2.627 0.000 0.000
Ru 0.000 2.418 0.000
Al 2.627 2.418 2.627
Os 0.000 0.000 0.000
```

Output
Volume = 133.49 Å³/f.u.
Formation energy from the elements = 1224 meV/atom
N(E_F) = 5.3 states/eV/f.u.

# 3
A relaxed RbReS3 crystal. Source: Alexandria, functional PBE.

Geometry as extended XYZ:
```
5
Lattice="4.754 0.000 0.000 0.000 4.754 0.000 0.000 0.000 4.754" Properties=species:S:1:pos:R:3 pbc="T T T"
S 2.377 0.000 0.000
S 0.000 0.000 2.377
S 0.000 2.377 0.000
Rb 2.377 2.377 2.377
Re 0.000 0.000 0.000
```

Output
Energy relative to the elements, uncorrected = -0.28 eV per atom
Volume = 107.41 Å³/f.u.
N(E_F) = 2.9 states/eV/f.u.

# 4
A relaxed NaNpTl2Cl6 crystal. Source: Alexandria, functional PBE.

Geometry as extended XYZ:
```
10
Lattice="-4.621 5.160 -3.346 -4.489 -0.030 6.151 7.483 1.383 0.754" Properties=species:S:1:pos:R:3 pbc="T T T"
Na -2.310 2.580 -1.673
Np -2.244 -0.015 3.076
Tl 1.615 1.859 1.188
Tl -3.242 4.653 2.371
Cl -0.347 4.081 -0.233
Cl -1.280 2.431 3.792
Cl 4.867 2.163 1.233
Cl -6.493 4.349 2.326
Cl -4.275 4.364 -0.714
Cl 2.649 2.148 4.272
```

Output
Energy relative to the elements, uncorrected = -1.47 eV per atom
Volume = 314.40 Å³/f.u.
N(E_F) = 6.2 states/eV/f.u.

# 5
A relaxed Ac2ZrP3Pt12 crystal. Source: Alexandria, functional PBE.

Geometry as extended XYZ:
```
18
Lattice="7.974 -0.145 -0.103 3.812 7.006 -0.103 3.812 2.219 6.646" Properties=species:S:1:pos:R:3 pbc="T T T"
Pt 8.187 4.765 0.525
Pt 7.412 7.009 2.116
Pt 9.760 8.004 5.677
Pt 11.780 6.857 2.402
Pt 11.780 4.534 5.677
Pt 8.187 2.071 4.324
Pt 5.838 1.075 0.763
Pt 7.412 4.314 5.915
Pt 9.755 2.983 2.116
Pt 3.818 4.546 0.763
Pt 3.818 2.222 4.038
Pt 5.844 6.096 4.324
P 1.906 1.109 3.323
P 3.987 -0.072 -0.051
P 1.906 3.503 -0.051
Ac 6.129 3.568 2.531
Ac 9.469 5.512 3.909
Zr 0.000 0.000 0.000
```

Output
Volume = 378.67 Å³/f.u.
Formation energy from the elements = -503 meV/atom
N(E_F) = 10.3 states/eV/f.u.

# 6
A relaxed DyGa4Hg crystal. Source: Alexandria, functional PBE.

Geometry as extended XYZ:
```
6
Lattice="-1.037 -5.213 1.719 2.595 -2.020 4.516 -2.868 -0.869 4.715" Properties=species:S:1:pos:R:3 pbc="T T T"
Ga -0.301 -2.460 5.983
Ga -0.818 -5.062 6.840
Ga -2.113 -4.054 4.587
Ga 0.613 -4.628 4.488
Dy -0.327 -2.026 2.737
Hg 0.000 0.000 0.000
```

Output
Volume = 123.27 Å³/f.u.
Formation energy from the elements = -199 meV/atom
N(E_F) = 4.7 states/eV/f.u.